# 1
The following is a DFT calculation (PBE-GGA) of Dy4HgPbC after structural relaxation.

Properties
SG ... Cmcm
Crystal system ... orthorhombic

Lattice parameters (Å, degrees): 8.3571 8.3571 6.9376 90.00 90.00 130.84
Element x y z (fractional)
1 Dy 0.0000 0.5000 0.0000
2 Dy 0.0000 0.5000 0.5000
3 Dy 0.0829 0.9171 0.7500
4 Dy 0.4096 0.5904 0.7500
5 Dy 0.5000 0.0000 0.0000
6 Dy 0.5000 0.0000 0.5000
7 Dy 0.5904 0.4096 0.2500
8 Dy 0.9171 0.0829 0.2500
9 Hg 0.1170 0.8830 0.2500
10 Hg 0.8830 0.1170 0.7500
11 Pb 0.3853 0.6147 0.2500
12 Pb 0.6147 0.3853 0.7500
13 C 0.2488 0.7512 0.7500
14 C 0.7512 0.2488 0.2500


# 2
The following is a DFT calculation (PBE-GGA) of UPaGa5 after structural relaxation.

Properties
SG ... P4/mmm
Crystal system ... tetragonal

Lattice parameters (Å, degrees): 4.8290 4.8290 6.5628 90.00 90.00 90.00
Element x y z (fractional)
1 U 0.0000 0.0000 0.0000
2 Pa 0.5000 0.5000 0.5000
3 Ga 0.0000 0.0000 0.5000
4 Ga 0.0000 0.5000 0.2359
5 Ga 0.0000 0.5000 0.7641
6 Ga 0.5000 0.0000 0.2359
7 Ga 0.5000 0.0000 0.7641


Number 1: formation energy -0.429 eV/atom. Number 2: formation energy 0.089 eV/atom.